# 1
Entry from Alexandria via LeMat-Bulk: a relaxed Th3SnP2Rh9 crystal (GGA-PBE).

Unit cell a=5.8912 b=5.8912 c=9.8569 alpha=90.00 beta=90.00 gamma=120.00
With the nearest neighbours (Å) after each atom.
Sites, in units of the cell vectors:
P  0.6667  0.3333  0.8460  6 Rh 2.21-2.28
P  0.3333  0.6667  0.1540  6 Rh 2.21-2.28
Rh  0.8421  0.1579  0.7146  1 P 2.21
Rh  0.6841  0.8421  0.2854  1 P 2.21
Rh  0.5000  0.5000  0.0000  2 P 2.28
Rh  0.5000  0.0000  0.0000  2 P 2.28
Rh  0.0000  0.5000  0.0000  2 P 2.28
Rh  0.1579  0.3159  0.2854  1 P 2.21
Rh  0.1579  0.8421  0.2854  1 P 2.21
Rh  0.3159  0.1579  0.7146  1 P 2.21
Rh  0.8421  0.6841  0.7146  1 P 2.21
Th  0.3333  0.6667  0.6866  6 Rh 2.96
Th  0.6667  0.3333  0.3134  6 Rh 2.96
Th  0.0000  0.0000  0.0000  12 Rh 2.95-3.24
Sn  0.0000  0.0000  0.5000  6 Rh 2.66

Calculated values
As for the total magnetic moment: 0.00 μB/atom. As for the space-group type: P-3m1, No. 164. For the total DFT energy (no corrections), the calculation gives -114.585 eV/cell. Its crystal system is trigonal. For the calculated formation energy, the calculation gives -0.756 eV per atom.

=====

# 2
Entry from Alexandria via LeMat-Bulk: a relaxed H4Rh2Pb crystal (GGA-PBE).

Unit cell a=5.8607 b=5.8607 c=5.8523 alpha=117.67 beta=117.48 gamma=94.33
With the nearest neighbours (Å) after each atom.
Sites, in units of the cell vectors:
Rh  0.6250  0.8750  0.2500  6 H 1.84-1.85
Rh  0.6250  0.3750  0.7500  6 H 1.84-1.85
Rh  0.6250  0.3750  0.2500  6 H 1.85
Rh  0.1250  0.3750  0.7500  6 H 1.85
H  0.4818  0.1513  0.3297  3 Rh 1.85, 1 H 2.07
H  0.4024  0.5713  0.1699  3 Rh 1.84-1.85, 1 H 2.05
H  0.7682  0.5987  0.1703  3 Rh 1.85, 1 H 2.07
H  0.8216  0.1521  0.6703  3 Rh 1.85, 1 H 2.07
H  0.8486  0.5175  0.6699  3 Rh 1.84-1.85, 1 H 2.05
H  0.4284  0.5979  0.8297  3 Rh 1.85, 1 H 2.07
H  0.4014  0.2325  0.8301  3 Rh 1.84-1.85, 1 H 2.05
H  0.8476  0.1787  0.3301  3 Rh 1.84-1.85, 1 H 2.05
Pb  0.9997  0.9997  0.0000  4 H 2.34
Pb  0.2503  0.7503  0.5000  4 H 2.34

Calculated values
As for the total magnetic moment: 0.00 μB/atom. As for the space-group type: C2/c, No. 15. For the total DFT energy (no corrections), the calculation gives -63.049 eV/cell. Its crystal system is monoclinic. The value obtained for the energy above the most stable polymorph in this dataset is 4.6 kJ per mole of atoms.

=====

# 3
Entry from Alexandria via LeMat-Bulk: a relaxed ZnSe2Cl crystal (GGA-PBE).

Unit cell a=7.8557 b=7.8557 c=7.8557 alpha=29.09 beta=29.09 gamma=29.09
With the nearest neighbours (Å) after each atom.
Sites, in units of the cell vectors:
Se  0.8906  0.8906  0.8906  1 Cl 2.47, 3 Zn 2.62
Se  0.1094  0.1094  0.1094  1 Cl 2.47, 3 Zn 2.62
Zn  0.5000  0.5000  0.5000  6 Se 2.62
Cl  0.0000  0.0000  0.0000  2 Se 2.47

Calculated values
As for the total magnetic moment: 0.00 μB/atom. As for the space-group type: R-3m, No. 166. For the total DFT energy (no corrections), the calculation gives -10.598 eV/cell. Its crystal system is trigonal. The value obtained for the formation energy (no corrections) is -0.51 eV per formula unit. The value obtained for the energy above the most stable polymorph in this dataset is 24.5 kJ per mole of atoms.

=====

# 4
Entry from Alexandria via LeMat-Bulk: a relaxed AlRuW3 crystal (GGA-PBE).

Unit cell a=4.4633 b=4.4633 c=4.4633 alpha=90.00 beta=90.00 gamma=90.00
With the nearest neighbours (Å) after each atom.
Sites, in units of the cell vectors:
W  0.0000  0.0000  0.5000  2 Al 2.23
W  0.0000  0.5000  0.0000  2 Al 2.23
W  0.5000  0.0000  0.0000  2 Al 2.23
Al  0.0000  0.0000  0.0000  6 W 2.23
Ru  0.5000  0.5000  0.5000  12 W 3.16

Calculated values
As for the total magnetic moment: 0.00 μB/atom. As for the space-group type: Pm-3m, No. 221. For the total DFT energy (no corrections), the calculation gives -42.316 eV/cell. Its crystal system is cubic. For the calculated formation energy, the calculation gives 1.912 eV per atom. The value obtained for the energy above the most stable polymorph in this dataset is 7.6 kJ per mole of atoms.